Entry from the Alexandria database: a crystal of CoSb2Pb relaxed with PBEsol (SCAN).

Unit cell a=3.424 b=3.424 c=9.091 alpha=79.15 beta=79.15 gamma=60.00
Fractional positions:
Pb (0.232, 0.232, 0.305)
Co (0.495, 0.495, 0.516)
Sb (0.773, 0.773, 0.682)
Sb (0.001, 0.001, 0.996)

Results
- Final energy: -41.5758 eV per atom
- ΔE_f (raw): 31 kJ per mole of atoms
- Symmetry: R3m
- DOS at the Fermi energy: 2.5 states/eV/f.u.